A relaxed CsPaZnO4 crystal, computed with PBE.

```
CsPaZnO4
1.0
6.370 0.000 0.000
-3.185 6.759 -0.060
0.000 -3.703 6.089
Cs Pa Zn O
2 2 2 8
Direct
0.826 0.651 0.076
0.174 0.349 0.924
0.500 0.000 0.500
0.500 0.000 0.000
0.500 0.500 0.500
0.000 0.500 0.500
0.691 0.381 0.623
0.292 0.984 0.242
0.692 0.984 0.242
0.691 0.381 0.258
0.309 0.619 0.742
0.708 0.016 0.758
0.308 0.016 0.758
0.309 0.619 0.377
```

* magnetic moment: 0.00 μB/f.u.
* ΔE_f (raw): -1570 kJ/mol of formula units
* energy: -95.447 eV/cell